Compound: NbHgO2
Source: the Alexandria database
Functional: PBE
Structure: relaxed

## Properties
For the uncorrected formation energy, the calculation gives -2.47 eV per formula unit.

a b c (Å): 7.103 7.103 7.103
angles (deg): 26.37 26.37 26.37
Sites, in units of the cell vectors:
Hg 0.500 0.500 0.500
O 0.094 0.094 0.094
O 0.906 0.906 0.906
Nb 0.000 0.000 0.000